# BiRh3O (PBE, optimized geometry)
data_BiRh3O
_symmetry_space_group_name_H-M 'P m -3 m'
_symmetry_Int_Tables_number 221
_symmetry_space_group_name_Hall '-P 4 2 3'
_cell_length_a 4.283
_cell_length_b 4.283
_cell_length_c 4.283
_cell_angle_alpha 90.00
_cell_angle_beta 90.00
_cell_angle_gamma 90.00
loop_
_atom_site_label
_atom_site_type_symbol
_atom_site_fract_x
_atom_site_fract_y
_atom_site_fract_z
_atom_site_occupancy
Bi1 Bi 0.000 0.000 0.000 1
Rh1 Rh 0.000 0.500 0.500 1
O1 O 0.500 0.500 0.500 1
# Fermi-level density of states = 5.40 states/eV/cell
# size of the total moment = 1.668 μB/cell
# crystal system = cubic
# energy relative to the elements, uncorrected = 152 meV per atom
# total DFT energy (no corrections) = -6.027 eV/atom

# Bi2RuRhO8 (PBE, optimized geometry)
data_Bi2RuRhO8
_symmetry_space_group_name_H-M 'P 1 2/m 1'
_symmetry_Int_Tables_number 10
_symmetry_space_group_name_Hall '-P 2y'
_cell_length_a 4.864
_cell_length_b 6.626
_cell_length_c 4.974
_cell_angle_alpha 90.00
_cell_angle_beta 90.72
_cell_angle_gamma 90.00
loop_
_atom_site_label
_atom_site_type_symbol
_atom_site_fract_x
_atom_site_fract_y
_atom_site_fract_z
_atom_site_occupancy
Bi1 Bi 0.000 0.248 0.000 1
Ru1 Ru 0.500 0.500 0.500 1
Rh1 Rh 0.500 0.000 0.500 1
O1 O 0.242 0.000 0.185 1
O2 O 0.259 0.500 0.192 1
O3 O 0.303 0.255 0.646 1
# Fermi-level density of states = 6.63 states/eV/cell
# size of the total moment = 0.246 μB/cell
# crystal system = monoclinic
# energy relative to the elements, uncorrected = -862 meV per atom
# total DFT energy (no corrections) = -6.200 eV/atom

# BiSbRhO6 (PBE, optimized geometry)
data_BiSbRhO6
_symmetry_space_group_name_H-M 'P -3 1 c'
_symmetry_Int_Tables_number 163
_symmetry_space_group_name_Hall '-P 3 2c'
_cell_length_a 5.3191
_cell_length_b 5.3191
_cell_length_c 9.9202
_cell_angle_alpha 90.00
_cell_angle_beta 90.00
_cell_angle_gamma 120.00
loop_
_atom_site_label
_atom_site_type_symbol
_atom_site_fract_x
_atom_site_fract_y
_atom_site_fract_z
_atom_site_occupancy
Bi1 Bi 0.0000 0.0000 0.0000 1
Sb1 Sb 0.3333 0.6667 0.2500 1
Rh1 Rh 0.3333 0.6667 0.7500 1
O1 O 0.0012 0.3662 0.6385 1
# Fermi-level density of states = 12.62 states/eV/cell
# size of the total moment = 1.546 μB/cell
# crystal system = trigonal
# energy relative to the elements, uncorrected = -1141 meV per atom
# total DFT energy (no corrections) = -6.153 eV/atom

# ScBiRh2O6 (PBE, optimized geometry)
data_ScBiRh2O6
_symmetry_space_group_name_H-M 'R 3'
_symmetry_Int_Tables_number 146
_symmetry_space_group_name_Hall 'R 3'
_cell_length_a 5.5254
_cell_length_b 5.5254
_cell_length_c 13.9882
_cell_angle_alpha 90.00
_cell_angle_beta 90.00
_cell_angle_gamma 120.00
loop_
_atom_site_label
_atom_site_type_symbol
_atom_site_fract_x
_atom_site_fract_y
_atom_site_fract_z
_atom_site_occupancy
Sc1 Sc 0.0000 0.0000 0.0000 1
Bi1 Bi 0.0000 0.0000 0.5119 1
Rh1 Rh 0.0000 0.0000 0.2933 1
Rh2 Rh 0.0000 0.0000 0.7905 1
O1 O 0.0206 0.6458 0.0515 1
O2 O 0.0324 0.4137 0.5576 1
# size of the total moment = 0.000 μB/cell
# crystal system = trigonal
# energy relative to the elements, uncorrected = -1450 meV per atom
# total DFT energy (no corrections) = -6.917 eV/atom

# SmBi2RhO6 (PBE, optimized geometry)
data_SmBi2RhO6
_symmetry_space_group_name_H-M 'P 1 21/c 1'
_symmetry_Int_Tables_number 14
_symmetry_space_group_name_Hall '-P 2ybc'
_cell_length_a 5.616
_cell_length_b 6.208
_cell_length_c 9.900
_cell_angle_alpha 90.00
_cell_angle_beta 123.58
_cell_angle_gamma 90.00
loop_
_atom_site_label
_atom_site_type_symbol
_atom_site_fract_x
_atom_site_fract_y
_atom_site_fract_z
_atom_site_occupancy
Sm1 Sm 0.000 0.000 0.000 1
Bi1 Bi 0.239 0.056 0.725 1
Rh1 Rh 0.500 0.000 0.500 1
O1 O 0.142 0.062 0.269 1
O2 O 0.207 0.662 0.029 1
O3 O 0.392 0.223 0.078 1
# size of the total moment = 0.000 μB/cell
# crystal system = monoclinic
# energy relative to the elements, uncorrected = -1574 meV per atom
# total DFT energy (no corrections) = -6.533 eV/atom

# SnBiRhO6 (PBE, optimized geometry)
data_SnBiRhO6
_symmetry_space_group_name_H-M 'P 42 n m'
_symmetry_Int_Tables_number 102
_symmetry_space_group_name_Hall 'P 4n -2n'
_cell_length_a 4.849
_cell_length_b 4.849
_cell_length_c 9.875
_cell_angle_alpha 90.00
_cell_angle_beta 90.00
_cell_angle_gamma 90.00
loop_
_atom_site_label
_atom_site_type_symbol
_atom_site_fract_x
_atom_site_fract_y
_atom_site_fract_z
_atom_site_occupancy
Sn1 Sn 0.000 0.000 0.000 1
Bi1 Bi 0.000 0.000 0.332 1
Rh1 Rh 0.000 0.000 0.665 1
O1 O 0.180 0.180 0.829 1
O2 O 0.193 0.193 0.511 1
O3 O 0.203 0.203 0.159 1
# Fermi-level density of states = 9.82 states/eV/cell
# size of the total moment = 0.150 μB/cell
# crystal system = tetragonal
# energy relative to the elements, uncorrected = -1064 meV per atom
# total DFT energy (no corrections) = -6.062 eV/atom

# Sr2BiRhO6 (PBE, optimized geometry)
data_Sr2BiRhO6
_symmetry_space_group_name_H-M 'C 1 2/m 1'
_symmetry_Int_Tables_number 12
_symmetry_space_group_name_Hall '-C 2y'
_cell_length_a 11.502
_cell_length_b 5.675
_cell_length_c 5.182
_cell_angle_alpha 90.00
_cell_angle_beta 112.70
_cell_angle_gamma 90.00
loop_
_atom_site_label
_atom_site_type_symbol
_atom_site_fract_x
_atom_site_fract_y
_atom_site_fract_z
_atom_site_occupancy
Sr1 Sr 0.239 0.000 0.210 1
Bi1 Bi 0.000 0.500 0.000 1
Rh1 Rh 0.000 0.000 0.500 1
O1 O 0.076 0.236 0.790 1
O2 O 0.190 0.500 0.279 1
# Fermi-level density of states = 6.82 states/eV/cell
# size of the total moment = 4.049 μB/cell
# crystal system = monoclinic
# energy relative to the elements, uncorrected = -1606 meV per atom
# total DFT energy (no corrections) = -6.040 eV/atom

# SrBi2RhO6 (PBE, optimized geometry)
data_SrBi2RhO6
_symmetry_space_group_name_H-M 'R 3'
_symmetry_Int_Tables_number 146
_symmetry_space_group_name_Hall 'R 3'
_cell_length_a 5.8667
_cell_length_b 5.8667
_cell_length_c 15.5022
_cell_angle_alpha 90.00
_cell_angle_beta 90.00
_cell_angle_gamma 120.00
loop_
_atom_site_label
_atom_site_type_symbol
_atom_site_fract_x
_atom_site_fract_y
_atom_site_fract_z
_atom_site_occupancy
Sr1 Sr 0.0000 0.0000 0.0000 1
Bi1 Bi 0.0000 0.0000 0.2704 1
Bi2 Bi 0.0000 0.0000 0.7849 1
Rh1 Rh 0.0000 0.0000 0.4759 1
O1 O 0.0066 0.3774 0.2121 1
O2 O 0.0078 0.7388 0.3920 1
# Fermi-level density of states = 16.90 states/eV/cell
# size of the total moment = 0.000 μB/cell
# crystal system = trigonal
# energy relative to the elements, uncorrected = -1354 meV per atom
# total DFT energy (no corrections) = -6.008 eV/atom